DFT (PBE) results for crystalline MgW3C at its relaxed geometry.

a = 4.5532 Å, b = 4.5532 Å, c = 4.5532 Å
α = 90.00°, β = 90.00°, γ = 90.00°
Space group Pm-3m (No. 221)
Asymmetric unit:
Mg (0.0000, 0.0000, 0.0000) x1
W (0.0000, 0.0000, 0.5000) x3
C (0.5000, 0.5000, 0.5000) x1

Total moment ... 0.196 μB per atom
ΔE to the lowest computed polymorph ... 81.53 kcal/mol of atoms
DFT total energy ... -6.039 eV per atom
ρ ... 10.341 g cm⁻³

=====

DFT (PBE) results for crystalline U2In9Pb at its relaxed geometry.

a = 4.6734 Å, b = 4.6734 Å, c = 14.2540 Å
α = 90.00°, β = 90.00°, γ = 90.00°
Space group P4/mmm (No. 123)
Asymmetric unit:
U (0.0000, 0.0000, 0.1623) x2
In (0.0000, 0.5000, 0.0000) x2
In (0.0000, 0.5000, 0.3247) x4
In (0.5000, 0.5000, 0.1601) x2
In (0.5000, 0.5000, 0.5000) x1
Pb (0.0000, 0.0000, 0.5000) x1

Total moment ... 0.449 μB per atom
DFT total energy ... -4.192 eV per atom
ρ ... 9.156 g cm⁻³

=====

DFT (PBE) results for crystalline CeAgAu3 at its relaxed geometry.

a = 18.8658 Å, b = 5.1300 Å, c = 4.9702 Å
α = 90.00°, β = 105.24°, γ = 90.00°
Space group C2/m (No. 12)
Asymmetric unit:
Ce (0.1161, 0.0000, 0.3681) x4
Ag (0.1245, 0.5000, 0.8734) x4
Au (0.0333, 0.5000, 0.2831) x4
Au (0.2069, 0.0000, 0.9591) x4
Au (0.2090, 0.5000, 0.4569) x4

Total moment ... 0.187 μB per atom
DFT total energy ... -3.987 eV per atom
ρ ... 12.006 g cm⁻³

=====

DFT (PBE) results for crystalline ReNiRh3 at its relaxed geometry.

a = 4.4094 Å, b = 10.0725 Å, c = 6.8641 Å
α = 90.00°, β = 90.00°, γ = 90.00°
Space group Imma (No. 74)
Asymmetric unit:
Re (0.0000, 0.0000, 0.0000) x4
Ni (0.0000, 0.2500, 0.3252) x4
Rh (0.0000, 0.0948, 0.6363) x8
Rh (0.0000, 0.2500, 0.9611) x4

Total moment ... 0.185 μB per atom
ΔE to the lowest computed polymorph ... 3.79 kcal/mol of atoms
DFT total energy ... -7.650 eV per atom
ρ ... 12.062 g cm⁻³

=====

DFT (PBE) results for crystalline BaLa2Cr at its relaxed geometry.

a = 8.4913 Å, b = 4.8198 Å, c = 7.9199 Å
α = 90.00°, β = 109.95°, γ = 90.00°
Space group C2/m (No. 12)
Asymmetric unit:
Ba (0.0000, 0.0000, 0.0000) x2
La (0.2124, 0.0000, 0.6448) x4
Cr (0.0000, 0.5000, 0.5000) x2

Total moment ... 0.652 μB per atom
ΔE to the lowest computed polymorph ... 3.59 kcal/mol of atoms
DFT total energy ... -4.882 eV per atom
ρ ... 5.092 g cm⁻³

=====

DFT (PBE) results for crystalline Ba5Mg2Tl12 at its relaxed geometry.

a = 19.6150 Å, b = 8.3036 Å, c = 8.1187 Å
α = 90.00°, β = 98.18°, γ = 90.00°
Space group C2/m (No. 12)
Asymmetric unit:
Ba (0.0000, 0.0000, 0.0000) x2
Ba (0.1914, 0.5000, 0.5446) x4
Ba (0.2380, 0.0000, 0.9076) x4
Mg (0.0000, 0.2998, 0.5000) x4
Tl (0.0446, 0.5000, 0.1904) x4
Tl (0.0937, 0.0000, 0.5561) x4
Tl (0.1066, 0.3062, 0.8451) x8
Tl (0.1553, 0.1932, 0.2414) x8

Total moment ... 0.000 μB per atom
DFT total energy ... -2.401 eV per atom
ρ ... 8.089 g cm⁻³

=====

DFT (PBE) results for crystalline FeCuSe2N at its relaxed geometry.

a = 4.8919 Å, b = 4.8919 Å, c = 3.3495 Å
α = 90.00°, β = 90.00°, γ = 90.00°
Space group P4/mmm (No. 123)
Asymmetric unit:
Fe (0.0000, 0.0000, 0.0000) x1
Cu (0.5000, 0.5000, 0.5000) x1
Se (0.0000, 0.5000, 0.0000) x2
N (0.0000, 0.0000, 0.5000) x1

Total moment ... 0.000 μB per atom
Energy relative to the elements, uncorrected ... 41 kJ/mol of atoms
ΔE to the lowest computed polymorph ... 0.00 kcal/mol of atoms
DFT total energy ... -5.146 eV per atom
ρ ... 6.035 g cm⁻³

=====

DFT (PBE) results for crystalline CrB3Sb at its relaxed geometry.

a = 3.9966 Å, b = 3.9966 Å, c = 3.9966 Å
α = 90.00°, β = 90.00°, γ = 90.00°
Space group Pm-3m (No. 221)
Asymmetric unit:
Cr (0.0000, 0.0000, 0.0000) x1
B (0.0000, 0.0000, 0.5000) x3
Sb (0.5000, 0.5000, 0.5000) x1

Total moment ... 0.000 μB per atom
Energy relative to the elements, uncorrected ... 114 kJ/mol of atoms
ΔE to the lowest computed polymorph ... 0.00 kcal/mol of atoms
DFT total energy ... -5.569 eV per atom
ρ ... 5.363 g cm⁻³

=====

DFT (PBE) results for crystalline PaCdH at its relaxed geometry.

a = 7.3220 Å, b = 3.1078 Å, c = 9.6770 Å
α = 90.00°, β = 91.37°, γ = 90.00°
Space group C2/m (No. 12)
Asymmetric unit:
Pa (0.0891, 0.0000, 0.3677) x4
Cd (0.1383, 0.5000, 0.8900) x4
H (0.2034, 0.0000, 0.5830) x4

Total moment ... 0.016 μB per atom
ΔE to the lowest computed polymorph ... 0.87 kcal/mol of atoms
DFT total energy ... -4.583 eV per atom
ρ ... 10.393 g cm⁻³

=====

DFT (PBE) results for crystalline Hf2Ga2Fe3 at its relaxed geometry.

a = 7.5940 Å, b = 7.5940 Å, c = 7.5940 Å
α = 90.00°, β = 90.00°, γ = 90.00°
Space group I2_13 (No. 199)
Asymmetric unit:
Hf (0.0177, 0.0177, 0.0177) x8
Ga (0.1919, 0.3081, 0.6919) x8
Fe (0.0000, 0.2500, 0.2571) x12

Total moment ... 0.000 μB per atom
ΔE to the lowest computed polymorph ... 2.59 kcal/mol of atoms
DFT total energy ... -7.326 eV per atom
ρ ... 10.070 g cm⁻³

=====

DFT (PBE) results for crystalline SrSm2ThP4 at its relaxed geometry.

a = 7.2351 Å, b = 4.1813 Å, c = 7.2351 Å
α = 90.00°, β = 109.14°, γ = 90.00°
Space group P2/m (No. 10)
Asymmetric unit:
Sr (0.0000, 0.0000, 0.0000) x1
Sm (0.0000, 0.5000, 0.5000) x1
Sm (0.5000, 0.0000, 0.5000) x1
Th (0.5000, 0.5000, 0.0000) x1
P (0.2570, 0.0000, 0.7468) x2
P (0.2645, 0.5000, 0.2590) x2

Total moment ... 0.000 μB per atom
DFT total energy ... -6.463 eV per atom
ρ ... 5.977 g cm⁻³

=====

DFT (PBE) results for crystalline Zn2RePb at its relaxed geometry.

a = 3.6913 Å, b = 4.2567 Å, c = 8.6854 Å
α = 90.00°, β = 90.00°, γ = 90.00°
Space group Imm2 (No. 44)
Asymmetric unit:
Zn (0.0000, 0.0000, 0.0000) x2
Zn (0.0000, 0.5000, 0.2637) x2
Re (0.0000, 0.5000, 0.7436) x2
Pb (0.0000, 0.0000, 0.5056) x2

Total moment ... 0.000 μB per atom
DFT total energy ... -4.116 eV per atom
ρ ... 12.757 g cm⁻³

=====

Q: What is the formula in the second record?
A: U2In9Pb

=====

Q: ρ of number 2 (U2In9Pb)?
A: 9.156 g cm⁻³

=====

Q: Which formula does entry 1 have?
A: MgW3C